1.
VASP calculation (PBE-GGA) on crystalline NaBeFe2Rh at its relaxed geometry.

The structure in CIF format:
```
data_NaBeFe2Rh
_chemical_formula_sum 'Na1 Be1 Fe2 Rh1'
_space_group_name_H-M_alt 'P 4/m m m'
_space_group_IT_number 123
_space_group_name_Hall '-P 4 2'
_cell_length_a 4.2872
_cell_length_b 4.2872
_cell_length_c 4.1083
_cell_angle_alpha 90.00
_cell_angle_beta 90.00
_cell_angle_gamma 90.00
loop_
_atom_site_label
_atom_site_fract_x
_atom_site_fract_y
_atom_site_fract_z
Na1 0.0000 0.0000 0.0000
Be1 0.0000 0.0000 0.5000
Fe1 0.0000 0.5000 0.0000
Rh1 0.5000 0.5000 0.5000
```

Spin magnetization in μB/atom: 1.208
ΔH_f (0 K) in kJ per mole of atoms: 176.1

2.
VASP calculation (PBE-GGA) on crystalline Na2BeVFe at its relaxed geometry.

The structure in CIF format:
```
data_Na2BeVFe
_chemical_formula_sum 'Na2 Be1 V1 Fe1'
_space_group_name_H-M_alt 'P 4/m m m'
_space_group_IT_number 123
_space_group_name_Hall '-P 4 2'
_cell_length_a 4.7668
_cell_length_b 4.7668
_cell_length_c 4.7411
_cell_angle_alpha 90.00
_cell_angle_beta 90.00
_cell_angle_gamma 90.00
loop_
_atom_site_label
_atom_site_fract_x
_atom_site_fract_y
_atom_site_fract_z
Na1 0.0000 0.5000 0.0000
Be1 0.0000 0.0000 0.0000
V1 0.0000 0.0000 0.5000
Fe1 0.5000 0.5000 0.5000
```

Spin magnetization in μB/atom: 0.046
ΔH_f (0 K) in kJ per mole of atoms: 131.1

3.
VASP calculation (PBE-GGA) on crystalline NaBeV2Fe at its relaxed geometry.

The structure in CIF format:
```
data_NaBeV2Fe
_chemical_formula_sum 'Na1 Be1 V2 Fe1'
_space_group_name_H-M_alt 'P 4/m m m'
_space_group_IT_number 123
_space_group_name_Hall '-P 4 2'
_cell_length_a 4.2210
_cell_length_b 4.2210
_cell_length_c 4.5001
_cell_angle_alpha 90.00
_cell_angle_beta 90.00
_cell_angle_gamma 90.00
loop_
_atom_site_label
_atom_site_fract_x
_atom_site_fract_y
_atom_site_fract_z
Na1 0.0000 0.0000 0.0000
Be1 0.0000 0.0000 0.5000
V1 0.0000 0.5000 0.5000
Fe1 0.5000 0.5000 0.0000
```

Spin magnetization in μB/atom: 0.185
ΔH_f (0 K) in kJ per mole of atoms: 123.9

4.
VASP calculation (PBE-GGA) on crystalline NaY2BeFe at its relaxed geometry.

The structure in CIF format:
```
data_NaY2BeFe
_chemical_formula_sum 'Na1 Y2 Be1 Fe1'
_space_group_name_H-M_alt 'P 4/m m m'
_space_group_IT_number 123
_space_group_name_Hall '-P 4 2'
_cell_length_a 5.1915
_cell_length_b 5.1915
_cell_length_c 4.6001
_cell_angle_alpha 90.00
_cell_angle_beta 90.00
_cell_angle_gamma 90.00
loop_
_atom_site_label
_atom_site_fract_x
_atom_site_fract_y
_atom_site_fract_z
Na1 0.0000 0.0000 0.0000
Y1 0.0000 0.5000 0.5000
Be1 0.0000 0.0000 0.5000
Fe1 0.5000 0.5000 0.0000
```

Spin magnetization in μB/atom: 0.051
ΔH_f (0 K) in kJ per mole of atoms: 100.6

5.
VASP calculation (PBE-GGA) on crystalline Be16Nb2Fe at its relaxed geometry.

The structure in CIF format:
```
data_Be16Nb2Fe
_chemical_formula_sum 'Be48 Nb6 Fe3'
_space_group_name_H-M_alt 'R 3 m'
_space_group_IT_number 160
_space_group_name_Hall 'R 3 -2"'
_cell_length_a 7.4440
_cell_length_b 7.4440
_cell_length_c 10.7173
_cell_angle_alpha 90.00
_cell_angle_beta 90.00
_cell_angle_gamma 120.00
loop_
_atom_site_label
_atom_site_fract_x
_atom_site_fract_y
_atom_site_fract_z
Be1 0.0000 0.0000 0.0522
Be2 0.0003 0.2861 0.1569
Be3 0.0053 0.5026 0.3086
Be4 0.1674 0.3347 0.3333
Be5 0.1676 0.3352 0.9874
Nb1 0.0000 0.0000 0.4904
Nb2 0.0000 0.0000 0.8117
Fe1 0.0000 0.0000 0.2551
```

Spin magnetization in μB/atom: 0.000
ΔH_f (0 K) in kJ per mole of atoms: -21.1

6.
VASP calculation (PBE-GGA) on crystalline BeNbFe3 at its relaxed geometry.

The structure in CIF format:
```
data_BeNbFe3
_chemical_formula_sum 'Be4 Nb4 Fe12'
_space_group_name_H-M_alt 'C m c m'
_space_group_IT_number 63
_space_group_name_Hall '-C 2c 2'
_cell_length_a 4.3709
_cell_length_b 13.3562
_cell_length_c 4.3754
_cell_angle_alpha 90.00
_cell_angle_beta 90.00
_cell_angle_gamma 90.00
loop_
_atom_site_label
_atom_site_fract_x
_atom_site_fract_y
_atom_site_fract_z
Be1 0.0000 0.0473 0.2500
Nb1 0.0000 0.3063 0.7500
Fe1 0.0000 0.5000 0.0000
Fe2 0.2339 0.1276 0.7500
```

Spin magnetization in μB/atom: 0.339
ΔH_f (0 K) in kJ per mole of atoms: 26.5

7.
VASP calculation (PBE-GGA) on crystalline BeNb2Fe at its relaxed geometry.

The structure in CIF format:
```
data_BeNb2Fe
_chemical_formula_sum 'Be4 Nb8 Fe4'
_space_group_name_H-M_alt 'I -4 2 d'
_space_group_IT_number 122
_space_group_name_Hall 'I -4 2bw'
_cell_length_a 6.7660
_cell_length_b 6.7660
_cell_length_c 5.2599
_cell_angle_alpha 90.00
_cell_angle_beta 90.00
_cell_angle_gamma 90.00
loop_
_atom_site_label
_atom_site_fract_x
_atom_site_fract_y
_atom_site_fract_z
Be1 0.0000 0.0000 0.0000
Nb1 0.2301 0.7500 0.6250
Fe1 0.0000 0.0000 0.5000
```

Spin magnetization in μB/atom: 0.150
ΔH_f (0 K) in kJ per mole of atoms: 44.6

8.
VASP calculation (PBE-GGA) on crystalline BeNb2Fe4 at its relaxed geometry.

The structure in CIF format:
```
data_BeNb2Fe4
_chemical_formula_sum 'Be2 Nb4 Fe8'
_space_group_name_H-M_alt 'I 4/m m m'
_space_group_IT_number 139
_space_group_name_Hall '-I 4 2'
_cell_length_a 3.8724
_cell_length_b 3.8724
_cell_length_c 12.3325
_cell_angle_alpha 90.00
_cell_angle_beta 90.00
_cell_angle_gamma 90.00
loop_
_atom_site_label
_atom_site_fract_x
_atom_site_fract_y
_atom_site_fract_z
Be1 0.0000 0.0000 0.0000
Nb1 0.0000 0.0000 0.3598
Fe1 0.0000 0.0000 0.1643
Fe2 0.0000 0.5000 0.0000
```

Spin magnetization in μB/atom: 0.326
ΔH_f (0 K) in kJ per mole of atoms: 42.2

9.
VASP calculation (PBE-GGA) on crystalline BeNbFe at its relaxed geometry.

The structure in CIF format:
```
data_BeNbFe
_chemical_formula_sum 'Be2 Nb2 Fe2'
_space_group_name_H-M_alt 'I 4 m m'
_space_group_IT_number 107
_space_group_name_Hall 'I 4 -2'
_cell_length_a 2.9093
_cell_length_b 2.9093
_cell_length_c 8.6601
_cell_angle_alpha 90.00
_cell_angle_beta 90.00
_cell_angle_gamma 90.00
loop_
_atom_site_label
_atom_site_fract_x
_atom_site_fract_y
_atom_site_fract_z
Be1 0.0000 0.0000 0.0000
Nb1 0.0000 0.0000 0.6964
Fe1 0.0000 0.0000 0.3908
```

Spin magnetization in μB/atom: 0.000
ΔH_f (0 K) in kJ per mole of atoms: -3.0

10.
VASP calculation (PBE-GGA) on crystalline Be8Nb3Fe at its relaxed geometry.

The structure in CIF format:
```
data_Be8Nb3Fe
_chemical_formula_sum 'Be24 Nb9 Fe3'
_space_group_name_H-M_alt 'R 3 m'
_space_group_IT_number 160
_space_group_name_Hall 'R 3 -2"'
_cell_length_a 4.5068
_cell_length_b 4.5068
_cell_length_c 22.1248
_cell_angle_alpha 90.00
_cell_angle_beta 90.00
_cell_angle_gamma 120.00
loop_
_atom_site_label
_atom_site_fract_x
_atom_site_fract_y
_atom_site_fract_z
Be1 0.0000 0.0000 0.0000
Be2 0.0000 0.0000 0.5001
Be3 0.9997 0.4999 0.2513
Be4 0.0011 0.5006 0.7488
Nb1 0.0000 0.0000 0.1929
Nb2 0.0000 0.0000 0.6842
Nb3 0.0000 0.0000 0.8118
Fe1 0.0000 0.0000 0.3122
```

Spin magnetization in μB/atom: 0.062
ΔH_f (0 K) in kJ per mole of atoms: -21.1

11.
VASP calculation (PBE-GGA) on crystalline BeNbFe3 at its relaxed geometry.

The structure in CIF format:
```
data_BeNbFe3
_chemical_formula_sum 'Be1 Nb1 Fe3'
_space_group_name_H-M_alt 'P m -3 m'
_space_group_IT_number 221
_space_group_name_Hall '-P 4 2 3'
_cell_length_a 4.4824
_cell_length_b 4.4824
_cell_length_c 4.4824
_cell_angle_alpha 90.00
_cell_angle_beta 90.00
_cell_angle_gamma 90.00
loop_
_atom_site_label
_atom_site_fract_x
_atom_site_fract_y
_atom_site_fract_z
Be1 0.0000 0.0000 0.0000
Nb1 0.5000 0.5000 0.5000
Fe1 0.0000 0.5000 0.5000
```

Spin magnetization in μB/atom: 0.930
ΔH_f (0 K) in kJ per mole of atoms: 170.3

12.
VASP calculation (PBE-GGA) on crystalline BeNb2Fe at its relaxed geometry.

The structure in CIF format:
```
data_BeNb2Fe
_chemical_formula_sum 'Be3 Nb6 Fe3'
_space_group_name_H-M_alt 'R -3 m'
_space_group_IT_number 166
_space_group_name_Hall '-R 3 2"'
_cell_length_a 2.7300
_cell_length_b 2.7300
_cell_length_c 29.6228
_cell_angle_alpha 90.00
_cell_angle_beta 90.00
_cell_angle_gamma 120.00
loop_
_atom_site_label
_atom_site_fract_x
_atom_site_fract_y
_atom_site_fract_z
Be1 0.0000 0.0000 0.0000
Nb1 0.0000 0.0000 0.0868
Fe1 0.0000 0.0000 0.5000
```

Spin magnetization in μB/atom: 0.638
ΔH_f (0 K) in kJ per mole of atoms: 65.2